Zn2HIr2 GGA-PBEsol optimized geometry; polymorph energy (0 for the lowest one) = 0 meV per atom; size of the total moment = 0.00 μB/cell
1.0
5.327 0.000 0.000
0.000 5.327 0.000
0.000 0.000 4.286
Zn H Ir
4 2 4
direct
0.158 0.342 0.000 Zn
0.342 0.842 0.000 Zn
0.658 0.158 0.000 Zn
0.842 0.658 0.000 Zn
0.000 0.000 0.500 H
0.500 0.500 0.500 H
0.175 0.675 0.500 Ir
0.325 0.175 0.500 Ir
0.675 0.825 0.500 Ir
0.825 0.325 0.500 Ir

***

YScTe GGA-PBEsol optimized geometry; polymorph energy (0 for the lowest one) = 95 meV per atom; size of the total moment = 0.94 μB/cell
1.0
3.841 0.000 0.000
-1.920 3.326 0.000
0.000 0.000 6.540
Y Sc Te
1 1 1
direct
0.000 0.000 0.000 Y
0.333 0.667 0.600 Sc
0.667 0.333 0.319 Te

***

Tl2MoPb GGA-PBEsol optimized geometry; polymorph energy (0 for the lowest one) = 25 meV per atom; size of the total moment = 1.37 μB/cell; DFT formation energy = 0.775 eV/atom
1.0
3.039 -5.413 0.000
3.039 5.413 0.000
-1.811 0.000 2.801
Tl Mo Pb
2 1 1
direct
0.000 0.500 0.000 Tl
0.500 0.000 0.000 Tl
0.000 0.000 0.500 Mo
0.500 0.500 0.500 Pb

***

Li2PPt GGA-PBEsol optimized geometry; size of the total moment = 0.00 μB/cell; DFT formation energy = -0.740 eV/atom
1.0
2.003 1.156 4.151
-2.003 1.156 4.151
0.000 -2.313 4.151
Li P Pt
2 1 1
direct
0.000 0.000 0.000 Li
0.225 0.225 0.225 Li
0.443 0.443 0.443 P
0.780 0.780 0.780 Pt

***

ZrBe2Tc2 GGA-PBEsol optimized geometry; size of the total moment = 0.00 μB/cell; DFT formation energy = -0.283 eV/atom
1.0
6.295 0.000 0.000
0.000 6.295 0.000
0.000 0.000 3.199
Zr Be Tc
2 4 4
direct
0.000 0.000 0.000 Zr
0.500 0.500 0.000 Zr
0.113 0.387 0.000 Be
0.387 0.887 0.000 Be
0.613 0.113 0.000 Be
0.887 0.613 0.000 Be
0.173 0.673 0.500 Tc
0.327 0.173 0.500 Tc
0.673 0.827 0.500 Tc
0.827 0.327 0.500 Tc

***

ErSi2 GGA-PBEsol optimized geometry; VASP energy = -6.055 eV per atom; size of the total moment = 0.00 μB/cell
1.0
-1.922 1.922 7.427
1.922 -1.922 7.427
1.922 1.922 -7.427
Er Si
2 4
direct
0.375 0.625 0.750 Er
0.625 0.375 0.250 Er
0.044 0.794 0.250 Si
0.206 0.956 0.250 Si
0.794 0.044 0.750 Si
0.956 0.206 0.750 Si